No. 1
The following is a PBE calculation of a relaxed LiAl2Co crystal, from Alexandria via LeMat-Bulk.

Results
ρ   2.998 Mg/m³
Energy   -3.85 eV per atom

Unit cell a=6.5671 b=6.5671 c=6.5671 alpha=157.62 beta=141.90 gamma=44.64
Positions (direct):
Li 0.0000 0.0000 0.0000
Al 0.3066 0.3066 0.0000
Al 0.6934 0.6934 0.0000
Co 0.5000 0.5000 0.0000

No. 2
The following is a PBE calculation of a relaxed Li2AlCo crystal, from Alexandria via LeMat-Bulk.

Results
ρ   2.978 Mg/m³
Energy   -3.57 eV per atom

Unit cell a=2.5707 b=2.5707 c=8.9377 alpha=90.00 beta=90.00 gamma=109.57
Positions (direct):
Li 0.0000 0.0000 0.2335
Li 0.0000 0.0000 0.7665
Al 0.5000 0.5000 0.5000
Co 0.5000 0.5000 0.0000

No. 3
The following is a PBE calculation of a relaxed Li2Al2Co crystal, from Alexandria via LeMat-Bulk.

Results
ρ   2.985 Mg/m³
Energy   -3.56 eV per atom

Unit cell a=6.5610 b=6.5610 c=3.2763 alpha=90.00 beta=90.00 gamma=90.00
Positions (direct):
Li 0.1548 0.3452 0.0000
Li 0.3452 0.8452 0.0000
Li 0.6548 0.1548 0.0000
Li 0.8452 0.6548 0.0000
Al 0.1518 0.6518 0.5000
Al 0.3482 0.1518 0.5000
Al 0.6518 0.8482 0.5000
Al 0.8482 0.3482 0.5000
Co 0.0000 0.0000 0.5000
Co 0.5000 0.5000 0.5000

No. 4
The following is a PBE calculation of a relaxed LiAl2Co crystal, from Alexandria via LeMat-Bulk.

Results
ρ   3.478 Mg/m³
Energy   -4.27 eV per atom

Unit cell a=8.7537 b=8.7537 c=8.7537 alpha=18.21 beta=18.21 gamma=18.21
Positions (direct):
Li 0.0000 0.0000 0.0000
Al 0.2388 0.2388 0.2388
Al 0.7612 0.7612 0.7612
Co 0.5000 0.5000 0.5000

No. 5
The following is a PBE calculation of a relaxed LiAlCo crystal, from Alexandria via LeMat-Bulk.

Results
ρ   4.159 Mg/m³
Energy   -4.39 eV per atom

Unit cell a=4.7543 b=4.7543 c=4.7543 alpha=143.91 beta=143.91 gamma=51.96
Positions (direct):
Li 0.0000 0.0000 0.0000
Al 0.6933 0.6933 0.0000
Co 0.3377 0.3377 0.0000

No. 6
The following is a PBE calculation of a relaxed LiAl2Co2 crystal, from Alexandria via LeMat-Bulk.

Results
ρ   4.589 Mg/m³
Excess energy over the best structure of this formula in the dataset   0.0 meV/atom

Unit cell a=6.8644 b=6.8644 c=2.7455 alpha=90.00 beta=90.00 gamma=90.00
Positions (direct):
Li 0.0000 0.0000 0.0000
Li 0.5000 0.5000 0.0000
Al 0.1501 0.3499 0.5000
Al 0.3499 0.8499 0.5000
Al 0.6501 0.1501 0.5000
Al 0.8499 0.6501 0.5000
Co 0.1451 0.6451 0.0000
Co 0.3549 0.1451 0.0000
Co 0.6451 0.8549 0.0000
Co 0.8549 0.3549 0.0000